Record 1
Below is an optimized crystal structure of Na9In4Pb, with properties calculated at the PBE level.

Summary:
DFT formation energy	-0.11	eV per atom
symmetry	P6_3/mmc (194)
volume	877.4	Å³/cell
N(E_F)	0.176	states/eV/atom
magnetization	0.000	μB per atom

The structure in POSCAR format:
```
Na9In4Pb
1.0
-8.332 3.453 -4.472
-3.040 -9.423 -1.613
-2.584 4.725 8.464
Na In Pb
18 8 2
direct
0.056 0.808 0.615
0.056 0.808 0.192
0.056 0.385 0.192
0.944 0.192 0.385
0.944 0.192 0.808
0.944 0.615 0.808
0.556 0.192 0.385
0.556 0.192 0.808
0.556 0.615 0.808
0.444 0.808 0.615
0.444 0.808 0.192
0.444 0.385 0.192
0.250 0.469 0.938
0.250 0.469 0.531
0.250 0.062 0.531
0.750 0.531 0.062
0.750 0.531 0.469
0.750 0.938 0.469
0.250 0.109 0.219
0.250 0.109 0.891
0.250 0.781 0.891
0.750 0.891 0.781
0.750 0.891 0.109
0.750 0.219 0.109
0.000 0.000 0.000
0.500 0.000 0.000
0.250 0.667 0.333
0.750 0.333 0.667
```

Record 2
Below is an optimized crystal structure of Na2InPb, with properties calculated at the PBE level.

Summary:
DFT formation energy	-0.09	eV per atom
symmetry	Fm-3m (225)
volume	110.2	Å³/cell
N(E_F)	0.823	states/eV/atom
magnetization	0.000	μB per atom
ΔE to the lowest computed polymorph	0.12	eV/f.u.

The structure in POSCAR format:
```
Na2InPb
1.0
0.000 3.805 3.805
3.805 0.000 3.805
3.805 3.805 0.000
Pb Na In
1 2 1
direct
0.500 0.500 0.500
0.250 0.250 0.250
0.750 0.750 0.750
0.000 0.000 0.000
```

Record 3
Below is an optimized crystal structure of Na12In3Pb, with properties calculated at the PBE level.

Summary:
DFT formation energy	-0.05	eV per atom
symmetry	P4/mmm (123)
volume	485.7	Å³/cell
N(E_F)	0.458	states/eV/atom
magnetization	0.000	μB per atom

The structure in POSCAR format:
```
Na12In3Pb
1.0
4.931 0.000 0.000
0.000 4.931 0.000
0.000 0.000 19.975
Na In Pb
12 3 1
direct
0.500 0.500 0.000
0.500 0.500 0.250
0.500 0.500 0.500
0.500 0.500 0.750
0.500 0.000 0.123
0.500 0.000 0.376
0.500 0.000 0.624
0.500 0.000 0.877
0.000 0.500 0.123
0.000 0.500 0.376
0.000 0.500 0.624
0.000 0.500 0.877
0.000 0.000 0.250
0.000 0.000 0.500
0.000 0.000 0.750
0.000 0.000 0.000
```

Record 4
Below is an optimized crystal structure of NaIn2Pb6, with properties calculated at the PBE level.

Summary:
DFT formation energy	0.02	eV per atom
symmetry	C2/m (12)
volume	277.6	Å³/cell
N(E_F)	0.527	states/eV/atom
magnetization	0.000	μB per atom
ΔE to the lowest computed polymorph	0.00	eV/f.u.

The structure in POSCAR format:
```
NaIn2Pb6
1.0
3.442 0.000 0.000
-1.721 8.487 -1.364
0.000 -0.760 9.623
Na In Pb
1 2 6
direct
0.000 0.000 0.500
0.170 0.340 0.720
0.830 0.660 0.280
0.003 0.006 0.831
0.179 0.359 0.084
0.821 0.641 0.916
0.339 0.679 0.603
0.661 0.321 0.397
0.997 0.994 0.169
```

Record 5
Below is an optimized crystal structure of NaIn6Pb2, with properties calculated at the PBE level.

Summary:
DFT formation energy	0.02	eV per atom
symmetry	C2/m (12)
volume	263.0	Å³/cell
N(E_F)	0.366	states/eV/atom
magnetization	0.000	μB per atom
ΔE to the lowest computed polymorph	0.00	eV/f.u.

The structure in POSCAR format:
```
NaIn6Pb2
1.0
5.461 0.966 0.559
1.269 8.247 1.002
1.269 4.978 6.651
Na In Pb
1 6 2
direct
0.000 0.000 0.000
0.390 0.345 0.876
0.210 0.790 0.790
0.390 0.876 0.345
0.610 0.655 0.124
0.790 0.210 0.210
0.610 0.124 0.655
0.849 0.651 0.651
0.151 0.349 0.349
```

Record 6
Below is an optimized crystal structure of NaInPb, with properties calculated at the PBE level.

Summary:
DFT formation energy	-0.11	eV per atom
symmetry	P-6m2 (187)
volume	178.7	Å³/cell
N(E_F)	0.209	states/eV/atom
magnetization	0.000	μB per atom

The structure in POSCAR format:
```
NaInPb
1.0
4.400 -2.540 0.000
0.000 5.081 0.000
0.000 0.000 7.992
Pb Na In
2 2 2
direct
0.000 0.000 0.298
0.000 0.000 0.702
0.667 0.333 0.000
0.667 0.333 0.500
0.333 0.667 0.189
0.333 0.667 0.811
```